DFT (GGA+U) results for a relaxed structure of MgNi2O4.

E above lowest polymorph: 0.43 eV per formula unit
magnetization: 7.98 μB per cell
final energy: -141.36 eV/cell

Cell lengths 2.905, 9.530, 9.358 Å; angles 90.00, 90.00, 90.00 degrees
Space group Cmcm (No. 63)
Unique sites:
1 Mg 0.000 0.107 0.250 [4 per cell]
2 Ni 0.000 0.365 0.070 [8 per cell]
3 O 0.000 0.000 0.000 [4 per cell]
4 O 0.000 0.276 0.614 [8 per cell]
5 O 0.000 0.457 0.250 [4 per cell]